<A>
# CaZn2Tc

A relaxed CaZn2Tc crystal (PBE-GGA, Alexandria via LeMat-Bulk).

The structure belongs to space group R-3m (No. 166, hexagonal axes); the cell edges are 3.0043, 3.0043 and 27.9455 Å and the angles 90.00°, 90.00° and 120.00°. The distinct sites, in fractional coordinates, are Ca at (0.0000, 0.0000, 0.0000), Zn at (0.0000, 0.0000, 0.2404) and Tc at (0.0000, 0.0000, 0.5000).

---

<B>
# CaZn2Tc

A relaxed CaZn2Tc crystal (PBE-GGA, Alexandria via LeMat-Bulk).

The structure belongs to space group Fm-3m (No. 225); the cell edges are 6.5562, 6.5562 and 6.5562 Å and the angles 90.00°, 90.00° and 90.00°. The distinct sites, in fractional coordinates, are Ca at (0.0000, 0.0000, 0.0000), Zn at (0.2500, 0.2500, 0.2500) and Tc at (0.0000, 0.0000, 0.5000).

---

<C>
# CaZn2Tc

A relaxed CaZn2Tc crystal (PBE-GGA, Alexandria via LeMat-Bulk).

The structure belongs to space group Pm (No. 6); the cell edges are 2.8981, 4.4792 and 5.5355 Å and the angles 90.00°, 99.02° and 90.00°. The distinct sites, in fractional coordinates, are Ca at (0.0000, 0.0000, 0.0000), Zn at (0.3790, 0.0000, 0.4871), Zn at (0.4235, 0.5000, 0.7567) and Tc at (0.7604, 0.5000, 0.3398).

---

Stability check: which of them is most stable? <B>.

---

<A>
# CaZn2Tc

A relaxed CaZn2Tc crystal (PBE-GGA, Alexandria via LeMat-Bulk).

The structure belongs to space group P4/mmm (No. 123); the cell edges are 4.4043, 4.4043 and 3.6112 Å and the angles 90.00°, 90.00° and 90.00°. The distinct sites, in fractional coordinates, are Ca at (0.0000, 0.0000, 0.0000), Zn at (0.0000, 0.5000, 0.5000) and Tc at (0.5000, 0.5000, 0.0000).

---

<B>
# CaZn2Tc

A relaxed CaZn2Tc crystal (PBE-GGA, Alexandria via LeMat-Bulk).

The structure belongs to space group Cmmm (No. 65); the cell edges are 5.9625, 7.9377 and 2.8817 Å and the angles 90.00°, 90.00° and 90.00°. The distinct sites, in fractional coordinates, are Ca at (0.0000, 0.0000, 0.0000), Zn at (0.2500, 0.2500, 0.5000) and Tc at (0.0000, 0.5000, 0.0000).

---

<C>
# CaZn2Tc

A relaxed CaZn2Tc crystal (PBE-GGA, Alexandria via LeMat-Bulk).

The structure belongs to space group I-4m2 (No. 119); the cell edges are 3.9835, 3.9835 and 8.8905 Å and the angles 90.00°, 90.00° and 90.00°. The distinct sites, in fractional coordinates, are Ca at (0.0000, 0.0000, 0.0000), Zn at (0.0000, 0.0000, 0.5000), Zn at (0.0000, 0.5000, 0.2500) and Tc at (0.0000, 0.5000, 0.7500).

---

<D>
# CaZn2Tc

A relaxed CaZn2Tc crystal (PBE-GGA, Alexandria via LeMat-Bulk).

The structure belongs to space group C2/m (No. 12); the cell edges are 9.2348, 2.7657 and 5.7436 Å and the angles 90.00°, 96.35° and 90.00°. The distinct sites, in fractional coordinates, are Ca at (0.0000, 0.0000, 0.0000), Zn at (0.2398, 0.0000, 0.6904) and Tc at (0.0000, 0.5000, 0.5000).

---

Stability check: which of them is most stable? <D>.

---

<A>
# CaZn3Tc

A relaxed CaZn3Tc crystal (PBE-GGA, Alexandria via LeMat-Bulk).

The structure belongs to space group Pm-3m (No. 221); the cell edges are 5.2455, 5.2455 and 5.2455 Å and the angles 90.00°, 90.00° and 90.00°. The distinct sites, in fractional coordinates, are Ca at (0.0000, 0.0000, 0.0000), Zn at (0.0000, 0.0000, 0.5000) and Tc at (0.5000, 0.5000, 0.5000).

---

<B>
# CaZn3Tc

A relaxed CaZn3Tc crystal (PBE-GGA, Alexandria via LeMat-Bulk).

The structure belongs to space group Pm-3m (No. 221); the cell edges are 4.8273, 4.8273 and 4.8273 Å and the angles 90.00°, 90.00° and 90.00°. The distinct sites, in fractional coordinates, are Ca at (0.0000, 0.0000, 0.0000), Zn at (0.0000, 0.5000, 0.5000) and Tc at (0.5000, 0.5000, 0.5000).

---

Stability check: which of them is most stable? <B>.

---

<A>
# CaZrTc2

A relaxed CaZrTc2 crystal (PBE-GGA, Alexandria via LeMat-Bulk).

The structure belongs to space group R-3m (No. 166, hexagonal axes); the cell edges are 3.2031, 3.2031 and 26.4745 Å and the angles 90.00°, 90.00° and 120.00°. The distinct sites, in fractional coordinates, are Ca at (0.0000, 0.0000, 0.0000), Zr at (0.0000, 0.0000, 0.5000) and Tc at (0.0000, 0.0000, 0.2423).

---

<B>
# CaZrTc2

A relaxed CaZrTc2 crystal (PBE-GGA, Alexandria via LeMat-Bulk).

The structure belongs to space group F-43m (No. 216); the cell edges are 6.6494, 6.6494 and 6.6494 Å and the angles 90.00°, 90.00° and 90.00°. The distinct sites, in fractional coordinates, are Ca at (0.0000, 0.0000, 0.0000), Zr at (0.2500, 0.2500, 0.2500), Tc at (0.0000, 0.0000, 0.5000) and Tc at (0.2500, 0.2500, 0.7500).

---

Stability check: which of them is most stable? <A>.

---

<A>
# CaTe4

A relaxed CaTe4 crystal (PBE-GGA, Alexandria via LeMat-Bulk).

The structure belongs to space group Pm-3m (No. 221); the cell edges are 5.7780, 5.7780 and 5.7780 Å and the angles 90.00°, 90.00° and 90.00°. The distinct sites, in fractional coordinates, are Ca at (0.0000, 0.0000, 0.0000), Te at (0.0000, 0.0000, 0.5000) and Te at (0.5000, 0.5000, 0.5000).

---

<B>
# CaTe4

A relaxed CaTe4 crystal (PBE-GGA, Alexandria via LeMat-Bulk).

The structure belongs to space group Im-3m (No. 229); the cell edges are 7.0654, 7.0654 and 7.0654 Å and the angles 90.00°, 90.00° and 90.00°. The distinct sites, in fractional coordinates, are Ca at (0.0000, 0.0000, 0.0000) and Te at (0.2500, 0.2500, 0.2500).

---

Stability check: which of them is most stable? <B>.

---

<A>
# Ca2ThTe4

A relaxed Ca2ThTe4 crystal (PBE-GGA, Alexandria via LeMat-Bulk).

The structure belongs to space group Cmcm (No. 63); the cell edges are 4.3483, 14.8277 and 15.0290 Å and the angles 90.00°, 90.00° and 90.00°. The distinct sites, in fractional coordinates, are Ca at (0.0000, 0.1292, 0.0660), Th at (0.0000, 0.3782, 0.2500), Te at (0.0000, 0.0299, 0.2500), Te at (0.0000, 0.2201, 0.6249) and Te at (0.0000, 0.5000, 0.0000).

---

<B>
# Ca2ThTe4

A relaxed Ca2ThTe4 crystal (PBE-GGA, Alexandria via LeMat-Bulk).

The structure belongs to space group Cmmm (No. 65); the cell edges are 9.0274, 12.8158 and 4.5348 Å and the angles 90.00°, 90.00° and 90.00°. The distinct sites, in fractional coordinates, are Ca at (0.2500, 0.2500, 0.0000), Th at (0.0000, 0.0000, 0.5000), Te at (0.0000, 0.2464, 0.5000) and Te at (0.2427, 0.0000, 0.0000).

---

Stability check: which of them is most stable? <B>.